DFT (PBE with a Hubbard U) results for crystalline Cr4Cu3HgO12 at its relaxed geometry.

Cell and atoms, written as POSCAR:
```
Cr4Cu3HgO12
1.0
-0.4143 -5.1294 -3.8353
2.4317 -1.7609 5.6725
-5.8462 2.5039 0.8629
O Cr Cu Hg
12 4 3 1
Direct
0.8285 0.1440 0.3155
0.1715 0.8560 0.6845
0.8560 0.6845 0.1715
0.8285 0.5130 0.6845
0.6845 0.1715 0.8560
0.5130 0.6845 0.8285
0.3155 0.8285 0.1440
0.3155 0.1715 0.4870
0.6845 0.8285 0.5130
0.1440 0.3155 0.8285
0.4870 0.3155 0.1715
0.1715 0.4870 0.3155
0.0000 0.0000 0.5000
0.0000 0.5000 0.0000
0.5000 0.0000 0.0000
0.5000 0.5000 0.5000
0.5000 0.5000 0.0000
0.5000 0.0000 0.5000
0.0000 0.5000 0.5000
0.0000 0.0000 0.0000
```

## Properties
energy: -6.258 eV/atom
Fermi-level density of states: 8.31 states/eV/cell

DFT (PBE with a Hubbard U) results for crystalline CrSnTeO6 at its relaxed geometry.

Cell and atoms, written as POSCAR:
```
CrSnTeO6
1.0
5.2284 0.0000 0.0000
-2.6142 4.5280 0.0000
0.0000 0.0000 9.1105
O Sn Te Cr
12 2 2 2
Direct
0.3449 0.3400 0.8700
0.3449 0.0049 0.6300
0.9951 0.3400 0.6300
0.9951 0.6551 0.8700
0.6551 0.9951 0.3700
0.6551 0.6600 0.1300
0.3400 0.3449 0.3700
0.0049 0.6600 0.3700
0.6600 0.0049 0.8700
0.6600 0.6551 0.6300
0.0049 0.3449 0.1300
0.3400 0.9951 0.1300
0.0000 0.0000 0.5000
0.0000 0.0000 0.0000
0.3333 0.6667 0.7500
0.6667 0.3333 0.2500
0.6667 0.3333 0.7500
0.3333 0.6667 0.2500
```

## Properties
energy: -6.287 eV/atom
Fermi-level density of states: 5.94 states/eV/cell